A plane-wave DFT calculation with PBE was carried out for a geometry-optimized Hf3Re2Pt structure.

Geometry as POSCAR:
```
Hf3Re2Pt
1.0
-2.271 2.272 -0.771
-1.846 -2.333 -1.436
-4.538 -1.649 8.511
Hf Re Pt
3 2 1
direct
0.000 0.000 0.000
0.000 0.000 0.675
0.000 0.000 0.325
0.500 0.500 0.829
0.500 0.500 0.171
0.500 0.500 0.500
```

Calculated values
- N(E_F) (states/eV/f.u.) = 2.07
- formation energy from the elements (eV/atom) = -0.652